Cr2FeH (PBE, optimized geometry); total magnetization = 0.0 μB/f.u.; energy relative to the lowest polymorph listed for this composition = 1.38 eV per formula unit; raw total energy = -28.5 eV for the cell shown
1.0
0.0000 2.6910 2.6910
2.6910 0.0000 2.6910
2.6910 2.6910 0.0000
Cr Fe H
2 1 1
Direct
0.7500 0.7500 0.7500
0.2500 0.2500 0.2500
0.5000 0.5000 0.5000
0.0000 0.0000 0.0000